VASP calculation (GGA-PBE) on an optimized crystal structure of ZnSeN2F.

Values from the calculation:
- Relative energy among the computed polymorphs: 5.20 eV per formula unit
- Crystal system: tetragonal
- Formation energy from raw total energies: 1.99 eV/atom
- Space-group type: P4/mmm (123)

a b c (Å): 4.0174 4.0174 4.5580
angles (deg): 90.00 90.00 90.00
Closest atoms and distances in Å follow each position.
Sites, in units of the cell vectors:
1 Se 0.0000 0.0000 0.5000  2 F 2.28
2 Zn 0.5000 0.5000 0.5000  4 Se 2.84, 8 N 3.04
3 F 0.0000 0.0000 0.0000  4 N 2.01
4 N 0.0000 0.5000 0.0000  2 F 2.01
5 N 0.5000 0.0000 0.0000  2 F 2.01